No. 1
# Tb3Y3Pt2 (PBE-GGA, optimized geometry)
# **ΔH_f (0 K)**: -0.594 eV/atom
# **E**: -6.26 eV per atom
# **Crystal system**: orthorhombic
data_Tb3Y3Pt2
_symmetry_space_group_name_H-M 'C m c m'
_symmetry_Int_Tables_number 63
_symmetry_space_group_name_Hall '-C 2c 2'
_cell_length_a 3.7795
_cell_length_b 13.2551
_cell_length_c 18.6194
_cell_angle_alpha 90.00
_cell_angle_beta 90.00
_cell_angle_gamma 90.00
loop_
_atom_site_label
_atom_site_type_symbol
_atom_site_fract_x
_atom_site_fract_y
_atom_site_fract_z
Tb1 Tb 0.0000 0.0604 0.2500
Tb2 Tb 0.0000 0.1728 0.5583
Y1 Y 0.0000 0.2163 0.7500
Y2 Y 0.0000 0.4418 0.5861
Pt1 Pt 0.0000 0.2071 0.1369

No. 2
# CsK2Be2 (PBE-GGA, optimized geometry)
# **Energy above the most stable polymorph in this dataset**: 0.20 eV per formula unit
# **ΔH_f (0 K)**: 1.024 eV/atom
# **E**: -1.08 eV per atom
# **Crystal system**: tetragonal
data_CsK2Be2
_symmetry_space_group_name_H-M 'I 4/m m m'
_symmetry_Int_Tables_number 139
_symmetry_space_group_name_Hall '-I 4 2'
_cell_length_a 6.1323
_cell_length_b 6.1323
_cell_length_c 12.6716
_cell_angle_alpha 90.00
_cell_angle_beta 90.00
_cell_angle_gamma 90.00
loop_
_atom_site_label
_atom_site_type_symbol
_atom_site_fract_x
_atom_site_fract_y
_atom_site_fract_z
Cs1 Cs 0.0000 0.0000 0.0000
K1 K 0.0000 0.0000 0.3444
Be1 Be 0.0000 0.5000 0.2500

No. 3
# Rb2Li2SnBr6 (PBE-GGA, optimized geometry)
# **E**: -3.17 eV per atom
# **Crystal system**: monoclinic
data_Rb2Li2SnBr6
_symmetry_space_group_name_H-M 'C 1 2/m 1'
_symmetry_Int_Tables_number 12
_symmetry_space_group_name_Hall '-C 2y'
_cell_length_a 13.4815
_cell_length_b 8.0239
_cell_length_c 8.4426
_cell_angle_alpha 90.00
_cell_angle_beta 116.55
_cell_angle_gamma 90.00
loop_
_atom_site_label
_atom_site_type_symbol
_atom_site_fract_x
_atom_site_fract_y
_atom_site_fract_z
Rb1 Rb 0.2100 0.0000 0.1709
Li1 Li 0.0579 0.5000 0.2637
Sn1 Sn 0.0000 0.0000 0.5000
Br1 Br 0.0557 0.2488 0.7970
Br2 Br 0.2413 0.0000 0.5979